Arrangement 1

This record from OQMD via LeMat-Bulk describes a relaxed Dy2Y2Er2LuNi2Te2 crystal. The functional is PBE.

Calculated values
* total moment: 0.01 μB/f.u.
* SG: Imm2
* crystal system: orthorhombic
* density: 8.0 Mg/m³

Cell: 9.3387 9.3387 9.3387 Å, 156.30 66.96 118.40°
Last column: nearest neighbours and their distance in Å.
Atoms (fractional coordinates):
Ni 0.1681 0.4065 0.7616  2 Er 2.77, 2 Dy 2.78, 2 Y 2.84
Ni 0.6449 0.4065 0.2384  2 Er 2.77, 2 Dy 2.78, 2 Y 2.84
Lu 0.4771 0.4771 0.0000  3 Te 3.16-3.21
Dy 0.0272 0.8946 0.1327  2 Ni 2.78
Dy 0.7619 0.8946 0.8673  2 Ni 2.78
Y 0.1011 0.7470 0.3541  2 Ni 2.84, 2 Te 3.14
Y 0.3929 0.7470 0.6459  2 Ni 2.84, 2 Te 3.14
Te 0.7393 0.2393 0.5000  2 Lu 3.16, 2 Er 3.18, 4 Dy 3.19
Te 0.1414 0.1414 0.0000  2 Dy 3.14, 4 Y 3.14, 1 Lu 3.21
Er 0.7806 0.0961 0.6844  2 Ni 2.77
Er 0.4117 0.0961 0.3156  2 Ni 2.77

=====

Arrangement 2

This record from OQMD via LeMat-Bulk describes a relaxed Dy2Y2Er2LuNi2Te2 crystal. The functional is PBE.

Calculated values
* total moment: 0.01 μB/f.u.
* SG: Imm2
* crystal system: orthorhombic
* density: 8.0 Mg/m³

Cell: 9.3381 9.3381 9.3381 Å, 156.30 67.03 118.34°
Last column: nearest neighbours and their distance in Å.
Atoms (fractional coordinates):
Er 0.7628 0.8952 0.8676  2 Ni 2.77
Er 0.0276 0.8952 0.1324  2 Ni 2.77
Te 0.7418 0.2418 0.5000  4 Er 3.18, 2 Y 3.18, 2 Lu 3.18
Te 0.1401 0.1401 0.0000  2 Er 3.12, 4 Dy 3.15, 1 Lu 3.22
Ni 0.1645 0.4036 0.7609  2 Er 2.77, 2 Y 2.80, 2 Dy 2.83
Ni 0.6427 0.4036 0.2391  2 Er 2.77, 2 Y 2.80, 2 Dy 2.83
Dy 0.1012 0.7474 0.3538  2 Ni 2.83, 2 Te 3.15
Dy 0.3936 0.7474 0.6462  2 Ni 2.83, 2 Te 3.15
Y 0.4137 0.0977 0.3160  2 Ni 2.80
Y 0.7817 0.0977 0.6840  2 Ni 2.80
Lu 0.4765 0.4765 0.0000  3 Te 3.18-3.22

=====

Decreasing stability: arrangement 1, arrangement 2

=====

Arrangement 1

This record from OQMD via LeMat-Bulk describes a relaxed Dy2Y2Er2LuNi2Te2 crystal. The functional is PBE.

Calculated values
* total moment: 0.01 μB/f.u.
* SG: Imm2
* crystal system: orthorhombic
* density: 8.0 Mg/m³

Cell: 9.3406 9.3406 9.3406 Å, 156.29 67.02 118.35°
Last column: nearest neighbours and their distance in Å.
Atoms (fractional coordinates):
Dy 0.3945 0.7481 0.6464  2 Ni 2.82, 2 Te 3.15
Dy 0.1017 0.7481 0.3536  2 Ni 2.82, 2 Te 3.15
Er 0.7805 0.0960 0.6845  2 Ni 2.77
Er 0.4115 0.0960 0.3155  2 Ni 2.77
Ni 0.6425 0.4056 0.2369  2 Er 2.77, 2 Y 2.81, 2 Dy 2.82
Ni 0.1686 0.4056 0.7631  2 Er 2.77, 2 Y 2.81, 2 Dy 2.82
Y 0.0260 0.8947 0.1313  2 Ni 2.81, 1 Te 3.13
Y 0.7634 0.8947 0.8687  2 Ni 2.81, 1 Te 3.13
Te 0.7390 0.2390 0.5000  2 Lu 3.16, 4 Y 3.18, 2 Er 3.18
Te 0.1419 0.1419 0.0000  2 Y 3.13, 4 Dy 3.15, 1 Lu 3.20
Lu 0.4766 0.4766 0.0000  3 Te 3.16-3.20

=====

Arrangement 2

This record from OQMD via LeMat-Bulk describes a relaxed Dy2Y2Er2LuNi2Te2 crystal. The functional is PBE.

Calculated values
* total moment: 0.01 μB/f.u.
* SG: Imm2
* crystal system: orthorhombic
* density: 8.0 Mg/m³

Cell: 9.3409 9.3409 9.3409 Å, 156.31 66.95 118.41°
Last column: nearest neighbours and their distance in Å.
Atoms (fractional coordinates):
Er 0.1009 0.7471 0.3538  2 Ni 2.82, 2 Te 3.14
Er 0.3933 0.7471 0.6462  2 Ni 2.82, 2 Te 3.14
Dy 0.7809 0.0963 0.6846  2 Ni 2.78
Dy 0.4116 0.0963 0.3154  2 Ni 2.78
Ni 0.1672 0.4047 0.7625  2 Dy 2.78, 2 Y 2.81, 2 Er 2.82
Ni 0.6421 0.4047 0.2375  2 Dy 2.78, 2 Y 2.81, 2 Er 2.82
Y 0.7641 0.8953 0.8688  2 Ni 2.81, 1 Te 3.12
Y 0.0265 0.8953 0.1312  2 Ni 2.81, 1 Te 3.12
Te 0.7406 0.2406 0.5000  4 Y 3.17, 2 Lu 3.17, 2 Dy 3.19
Te 0.1420 0.1420 0.0000  2 Y 3.12, 4 Er 3.14, 1 Lu 3.20
Lu 0.4767 0.4767 0.0000  3 Te 3.17-3.20

=====

Decreasing stability: arrangement 1, arrangement 2

=====

Arrangement 1

This record from OQMD via LeMat-Bulk describes a relaxed Dy2ErLu4Te2Pd2 crystal. The functional is PBE.

Calculated values
* total moment: 0.00 μB/f.u.
* SG: Imm2
* crystal system: orthorhombic
* density: 9.6 Mg/m³

Cell: 9.3039 9.3039 9.3039 Å, 155.81 67.28 118.30°
Last column: nearest neighbours and their distance in Å.
Atoms (fractional coordinates):
Te 0.3392 0.3392 0.0000  6 Lu 3.07-3.12, 1 Er 3.24
Te 0.7308 0.2308 0.5000  2 Dy 3.14, 4 Lu 3.15, 2 Er 3.22
Pd 0.3089 0.0716 0.2373  4 Lu 2.83-2.88, 3 Dy 2.85-3.12
Pd 0.8343 0.0716 0.7627  4 Lu 2.83-2.88, 3 Dy 2.85-3.12
Dy 0.6894 0.3724 0.3170  3 Pd 2.85-3.12, 1 Te 3.14
Dy 0.0554 0.3724 0.6830  3 Pd 2.85-3.12, 1 Te 3.14
Lu 0.4514 0.5819 0.8695  2 Pd 2.83, 3 Te 3.07-3.15
Lu 0.3760 0.7328 0.6432  2 Pd 2.88, 2 Te 3.12
Lu 0.7124 0.5819 0.1305  2 Pd 2.83, 3 Te 3.07-3.15
Lu 0.0896 0.7328 0.3568  2 Pd 2.88, 2 Te 3.12
Er 0.9993 0.9993 0.0000  3 Te 3.22-3.24

=====

Arrangement 2

This record from OQMD via LeMat-Bulk describes a relaxed Dy2ErLu4Te2Pd2 crystal. The functional is PBE.

Calculated values
* total moment: 0.02 μB/f.u.
* SG: Imm2
* crystal system: orthorhombic
* density: 9.5 Mg/m³

Cell: 9.3175 9.3175 9.3175 Å, 155.77 67.40 118.19°
Last column: nearest neighbours and their distance in Å.
Atoms (fractional coordinates):
Te 0.3344 0.3344 0.0000  2 Dy 3.11, 4 Lu 3.13, 1 Er 3.20
Te 0.7375 0.2375 0.5000  2 Lu 3.13, 4 Dy 3.18, 2 Er 3.19
Lu 0.6912 0.3744 0.3168  2 Pd 2.81, 1 Te 3.13
Lu 0.3765 0.7323 0.6442  2 Pd 2.86, 2 Te 3.13
Lu 0.0882 0.7323 0.3558  2 Pd 2.86, 2 Te 3.13
Lu 0.0576 0.3744 0.6832  2 Pd 2.81, 1 Te 3.13
Dy 0.4517 0.5816 0.8701  2 Pd 2.89, 3 Te 3.11-3.18
Dy 0.7116 0.5816 0.1299  2 Pd 2.89, 3 Te 3.11-3.18
Pd 0.3022 0.0688 0.2335  4 Lu 2.81-2.86, 2 Dy 2.89
Pd 0.8353 0.0688 0.7665  4 Lu 2.81-2.86, 2 Dy 2.89
Er 0.0005 0.0005 0.0000  3 Te 3.19-3.20

=====

Decreasing stability: arrangement 2, arrangement 1

=====

Arrangement 1

This record from OQMD via LeMat-Bulk describes a relaxed DyEr2Lu4Te2Pd2 crystal. The functional is PBE.

Calculated values
* total moment: 0.01 μB/f.u.
* SG: Imm2
* crystal system: orthorhombic
* density: 9.6 Mg/m³

Cell: 9.2756 9.2756 9.2756 Å, 155.67 67.42 118.22°
Last column: nearest neighbours and their distance in Å.
Atoms (fractional coordinates):
Pd 0.3057 0.0690 0.2367  3 Er 2.83-3.14, 4 Lu 2.83-2.89
Pd 0.8323 0.0690 0.7633  3 Er 2.83-3.14, 4 Lu 2.83-2.89
Lu 0.0897 0.7337 0.3560  2 Pd 2.89, 2 Te 3.12
Lu 0.7135 0.5827 0.1308  2 Pd 2.83, 3 Te 3.08-3.15
Lu 0.4519 0.5827 0.8692  2 Pd 2.83, 3 Te 3.08-3.15
Lu 0.3776 0.7337 0.6440  2 Pd 2.89, 2 Te 3.12
Te 0.3390 0.3390 0.0000  6 Lu 3.08-3.12, 1 Dy 3.23
Te 0.7322 0.2322 0.5000  2 Er 3.13, 4 Lu 3.15, 2 Dy 3.21
Dy 0.9994 0.9994 0.0000  3 Te 3.21-3.23
Er 0.6892 0.3726 0.3167  3 Pd 2.83-3.14, 1 Te 3.13
Er 0.0559 0.3726 0.6833  3 Pd 2.83-3.14, 1 Te 3.13

=====

Arrangement 2

This record from OQMD via LeMat-Bulk describes a relaxed DyEr2Lu4Te2Pd2 crystal. The functional is PBE.

Calculated values
* total moment: 0.02 μB/f.u.
* SG: Imm2
* crystal system: orthorhombic
* density: 9.6 Mg/m³

Cell: 9.2767 9.2767 9.2767 Å, 155.68 67.28 118.35°
Last column: nearest neighbours and their distance in Å.
Atoms (fractional coordinates):
Er 0.7133 0.5827 0.1306  2 Pd 2.85, 3 Te 3.08-3.16
Er 0.4521 0.5827 0.8694  2 Pd 2.85, 3 Te 3.08-3.16
Te 0.3375 0.3375 0.0000  2 Er 3.08, 4 Lu 3.12, 1 Dy 3.21
Te 0.7341 0.2341 0.5000  2 Lu 3.13, 4 Er 3.16, 2 Dy 3.19
Pd 0.8326 0.0682 0.7644  4 Lu 2.81-2.88, 2 Er 2.85
Pd 0.3038 0.0682 0.2356  4 Lu 2.81-2.88, 2 Er 2.85
Dy 0.9995 0.9995 0.0000  3 Te 3.19-3.21
Lu 0.3778 0.7335 0.6443  2 Pd 2.88, 2 Te 3.12
Lu 0.6900 0.3734 0.3166  2 Pd 2.81, 1 Te 3.13
Lu 0.0892 0.7335 0.3557  2 Pd 2.88, 2 Te 3.12
Lu 0.0568 0.3734 0.6834  2 Pd 2.81, 1 Te 3.13

=====

Decreasing stability: arrangement 2, arrangement 1

=====

Arrangement 1

This record from OQMD via LeMat-Bulk describes a relaxed DyEr4Lu2Te2Pd2 crystal. The functional is PBE.

Calculated values
* total moment: 0.01 μB/f.u.
* SG: Imm2
* crystal system: orthorhombic
* density: 9.5 Mg/m³

Cell: 9.3112 9.3112 9.3112 Å, 155.72 67.17 118.45°
Last column: nearest neighbours and their distance in Å.
Atoms (fractional coordinates):
Te 0.7340 0.2340 0.5000  2 Lu 3.14, 4 Er 3.16, 2 Dy 3.19
Te 0.3378 0.3378 0.0000  6 Er 3.09-3.13, 1 Dy 3.23
Lu 0.6904 0.3734 0.3169  2 Pd 2.82, 1 Te 3.14
Lu 0.0565 0.3734 0.6831  2 Pd 2.82, 1 Te 3.14
Pd 0.8313 0.0674 0.7639  2 Lu 2.82, 4 Er 2.85-2.90
Pd 0.3035 0.0674 0.2361  2 Lu 2.82, 4 Er 2.85-2.90
Er 0.4524 0.5829 0.8695  2 Pd 2.85, 3 Te 3.09-3.16
Er 0.0900 0.7342 0.3558  2 Pd 2.90, 2 Te 3.13
Er 0.3784 0.7342 0.6442  2 Pd 2.90, 2 Te 3.13
Er 0.7134 0.5829 0.1305  2 Pd 2.85, 3 Te 3.09-3.16
Dy 0.9989 0.9989 0.0000  3 Te 3.19-3.23

=====

Arrangement 2

This record from OQMD via LeMat-Bulk describes a relaxed DyEr4Lu2Te2Pd2 crystal. The functional is PBE.

Calculated values
* total moment: 0.00 μB/f.u.
* SG: Imm2
* crystal system: orthorhombic
* density: 9.4 Mg/m³

Cell: 9.3448 9.3448 9.3448 Å, 155.82 67.16 118.42°
Last column: nearest neighbours and their distance in Å.
Atoms (fractional coordinates):
Er 0.0566 0.3734 0.6832  3 Pd 2.84-3.16, 1 Te 3.15
Er 0.6902 0.3734 0.3168  3 Pd 2.84-3.16, 1 Te 3.15
Er 0.7113 0.5814 0.1299  2 Pd 2.87, 3 Te 3.10-3.17
Er 0.4515 0.5814 0.8701  2 Pd 2.87, 3 Te 3.10-3.17
Te 0.7334 0.2334 0.5000  6 Er 3.15-3.17, 2 Dy 3.21
Te 0.3362 0.3362 0.0000  2 Er 3.10, 4 Lu 3.14, 1 Dy 3.22
Lu 0.0890 0.7330 0.3560  2 Pd 2.88, 2 Te 3.14
Lu 0.3769 0.7330 0.6440  2 Pd 2.88, 2 Te 3.14
Pd 0.8354 0.0711 0.7643  5 Er 2.84-3.16, 2 Lu 2.88
Pd 0.3068 0.0711 0.2357  5 Er 2.84-3.16, 2 Lu 2.88
Dy 0.9993 0.9993 0.0000  3 Te 3.21-3.22

=====

Decreasing stability: arrangement 1, arrangement 2